Below is a geometry-optimized Li2AcSmSe4 structure, with properties calculated at the GGA-PBE level.

Theoretical density, Mg/m³: 5.6
Magnetization, μB/cell: 0.00
ΔE_f (raw), eV/atom: -1.668
SG: P2/m
Fermi-level density of states, states/eV per cell: 0.0

a b c (Å): 4.2968 7.0067 7.4670
angles (deg): 69.16 90.00 90.00
Closest atoms and distances in Å follow each position.
Sites, in units of the cell vectors:
Li 0.0000 0.0000 0.0000  6 Se 2.87-2.88
Li 0.5000 0.0000 0.5000  6 Se 2.98-3.02
Ac 0.0000 0.5000 0.5000  6 Se 3.07-3.08
Sm 0.5000 0.5000 0.0000  6 Se 2.95-2.97
Se 0.0000 0.7588 0.7588  3 Li 2.87-2.98, 2 Sm 2.97, 1 Ac 3.08
Se 0.0000 0.2412 0.2412  3 Li 2.87-2.98, 2 Sm 2.97, 1 Ac 3.08
Se 0.5000 0.7642 0.2310  3 Li 2.88-3.02, 1 Sm 2.95, 2 Ac 3.07
Se 0.5000 0.2358 0.7690  3 Li 2.88-3.02, 1 Sm 2.95, 2 Ac 3.07

Below is a geometry-optimized TaIr2Br structure, with properties calculated at the GGA-PBE level.

Theoretical density, Mg/m³: 14.8
Magnetization, μB/cell: 1.18
ΔE_f (raw), eV/atom: 0.345
SG: R3m
Energy above the most stable polymorph in this dataset, eV per formula unit: 1.57
Fermi-level density of states, states/eV per cell: 3.9

a b c (Å): 9.8910 9.8910 9.8910
angles (deg): 17.00 17.00 17.00
Closest atoms and distances in Å follow each position.
Sites, in units of the cell vectors:
Ir 0.9861 0.9861 0.9861  9 Ir 2.75-2.92
Ir 0.2453 0.2453 0.2453  9 Ir 2.75-2.92, 3 Ta 2.79
Br 0.7661 0.7661 0.7661  3 Ta 2.65, 6 Br 2.92
Ta 0.5025 0.5025 0.5025  3 Br 2.65, 3 Ir 2.79, 6 Ta 2.92

Below is a geometry-optimized Cs5Rb4 structure, with properties calculated at the GGA-PBE level.

Theoretical density, Mg/m³: 1.8
Magnetization, μB/cell: 0.00
SG: I4/m
Energy above the most stable polymorph in this dataset, eV per formula unit: 0.03
Formation enthalpy at 0 K, meV/atom: 7
Fermi-level density of states, states/eV per cell: 10.0

a b c (Å): 5.8070 12.9198 12.9198
angles (deg): 87.11 77.01 77.01
Closest atoms and distances in Å follow each position.
Sites, in units of the cell vectors:
Cs 0.3295 0.3340 0.0071  4 Cs 5.09-5.11, 4 Rb 5.17-5.19
Cs 0.6634 0.0071 0.6660  4 Cs 5.09-5.11, 4 Rb 5.17-5.19
Cs 0.3366 0.9929 0.3340  4 Cs 5.09-5.11, 4 Rb 5.17-5.19
Cs 0.6705 0.6660 0.9929  4 Cs 5.09-5.11, 4 Rb 5.17-5.19
Cs 0.0000 0.0000 0.0000  8 Cs 5.11
Rb 0.0061 0.6532 0.3345  4 Rb 4.96, 4 Cs 5.17-5.19
Rb 0.6594 0.3345 0.3468  4 Rb 4.96, 4 Cs 5.17-5.19
Rb 0.3406 0.6655 0.6532  4 Rb 4.96, 4 Cs 5.17-5.19
Rb 0.9939 0.3468 0.6655  4 Rb 4.96, 4 Cs 5.17-5.19

Below is a geometry-optimized BeTlSe2 structure, with properties calculated at the GGA-PBE level.

Theoretical density, Mg/m³: 6.9
Magnetization, μB/cell: 0.00
ΔE_f (raw), eV/atom: 0.309
SG: C2/m
Energy above the most stable polymorph in this dataset, eV per formula unit: 2.88
Fermi-level density of states, states/eV per cell: 2.3

a b c (Å): 4.9725 4.9020 4.7977
angles (deg): 73.24 66.65 108.25
Closest atoms and distances in Å follow each position.
Sites, in units of the cell vectors:
Be 0.5000 0.5000 0.0000  2 Tl 2.68, 4 Se 2.89
Tl 0.0000 0.5000 0.5000  2 Be 2.68, 4 Se 2.89
Se 0.0000 0.0000 0.0000  2 Se 2.68, 2 Tl 2.89, 2 Be 2.89
Se 0.5000 0.0000 0.5000  2 Se 2.68, 2 Be 2.89, 2 Tl 2.89

Below is a geometry-optimized TbDy2Sc structure, with properties calculated at the GGA-PBE level.

Theoretical density, Mg/m³: 7.4
Magnetization, μB/cell: 0.00
SG: P4/mmm
Energy above the most stable polymorph in this dataset, eV per formula unit: 0.04
Formation enthalpy at 0 K, meV/atom: 40
Fermi-level density of states, states/eV per cell: 5.9

a b c (Å): 3.4957 3.4957 9.7391
angles (deg): 90.00 90.00 90.00
Closest atoms and distances in Å follow each position.
Sites, in units of the cell vectors:
Sc 0.5000 0.5000 0.0000  8 Dy 3.39, 4 Sc 3.50
Tb 0.5000 0.5000 0.5000  4 Tb 3.50, 8 Dy 3.55
Dy 0.0000 0.0000 0.7613  4 Sc 3.39, 4 Dy 3.50, 4 Tb 3.55
Dy 0.0000 0.0000 0.2387  4 Sc 3.39, 4 Dy 3.50, 4 Tb 3.55

Below is a geometry-optimized BaAc2F11 structure, with properties calculated at the GGA-PBE level.

Theoretical density, Mg/m³: 4.3
Magnetization, μB/cell: 2.36
ΔE_f (raw), eV/atom: -3.078
SG: Ibam
Fermi-level density of states, states/eV per cell: 32.8

a b c (Å): 7.8663 9.6713 9.6713
angles (deg): 81.38 66.00 66.00
Closest atoms and distances in Å follow each position.
Sites, in units of the cell vectors:
Ba 0.7500 0.7500 0.7500  4 F 2.58
Ba 0.2500 0.2500 0.2500  4 F 2.58
Ac 0.7576 0.7030 0.2970  5 F 2.35-2.54
Ac 0.2424 0.2970 0.7030  5 F 2.35-2.54
Ac 0.7424 0.2030 0.7970  5 F 2.35-2.54
Ac 0.2576 0.7970 0.2030  5 F 2.35-2.54
F 0.6060 0.7252 0.5621  1 Ac 2.35, 1 Ba 2.58
F 0.3940 0.2748 0.4379  1 Ac 2.35, 1 Ba 2.58
F 0.1067 0.5621 0.7252  1 Ac 2.35, 1 Ba 2.58
F 0.8940 0.9379 0.7748  1 Ac 2.35, 1 Ba 2.58
F 0.8933 0.4379 0.2748  1 Ac 2.35, 1 Ba 2.58
F 0.1060 0.0621 0.2252  1 Ac 2.35, 1 Ba 2.58
F 0.3933 0.7748 0.9379  1 Ac 2.35, 1 Ba 2.58
F 0.6067 0.2252 0.0621  1 Ac 2.35, 1 Ba 2.58
F 0.5000 0.5000 0.5000  2 F 1.70
F 0.0000 0.0000 0.0000  2 F 1.70
F 0.9357 0.8712 0.1288  1 F 1.70
F 0.0643 0.1288 0.8712  1 F 1.70
F 0.5643 0.3712 0.6288  1 F 1.70
F 0.4357 0.6288 0.3712  1 F 1.70
F 0.4400 0.9202 0.2921  2 Ac 2.54-2.63, 3 F 2.63-2.82
F 0.5600 0.0798 0.7079  2 Ac 2.54-2.63, 3 F 2.63-2.82
F 0.3478 0.2921 0.9202  2 Ac 2.54-2.63, 3 F 2.63-2.82
F 0.0600 0.2079 0.5798  2 Ac 2.54-2.63, 3 F 2.63-2.82
F 0.6522 0.7079 0.0798  2 Ac 2.54-2.63, 3 F 2.63-2.82
F 0.9400 0.7921 0.4202  2 Ac 2.54-2.63, 3 F 2.63-2.82
F 0.1522 0.5798 0.2079  2 Ac 2.54-2.63, 3 F 2.63-2.82
F 0.8478 0.4202 0.7921  2 Ac 2.54-2.63, 3 F 2.63-2.82

Below is a geometry-optimized AsHSe2 structure, with properties calculated at the GGA-PBE level.

Theoretical density, Mg/m³: 4.4
Magnetization, μB/cell: 0.00
SG: R-3m
Energy above the most stable polymorph in this dataset, eV per formula unit: 0.41
Fermi-level density of states, states/eV per cell: 0.0

a b c (Å): 6.8585 6.8585 6.8585
angles (deg): 33.75 33.75 33.75
Closest atoms and distances in Å follow each position.
Sites, in units of the cell vectors:
H 0.0000 0.0000 0.0000  2 Se 1.76
As 0.5000 0.5000 0.5000  6 Se 2.73
Se 0.9092 0.9092 0.9092  1 H 1.76
Se 0.0908 0.0908 0.0908  1 H 1.76

Below is a geometry-optimized Tb4CeHg7 structure, with properties calculated at the GGA-PBE level.

Theoretical density, Mg/m³: 10.8
Magnetization, μB/cell: 1.17
SG: C2/m
Formation enthalpy at 0 K, meV/atom: -280
Fermi-level density of states, states/eV per cell: 13.5

a b c (Å): 5.5994 9.7582 6.9673
angles (deg): 82.05 66.31 73.33
Closest atoms and distances in Å follow each position.
Sites, in units of the cell vectors:
Tb 0.5832 0.2240 0.6095  8 Hg 3.01-3.24
Tb 0.4168 0.7760 0.3905  8 Hg 3.01-3.24
Tb 0.7381 0.6717 0.8521  6 Hg 3.08-3.23
Tb 0.2619 0.3283 0.1479  6 Hg 3.08-3.23
Ce 0.0000 0.0000 0.0000  2 Hg 2.80
Hg 0.7892 0.9112 0.5103  4 Tb 3.01-3.17, 4 Hg 3.09-3.26, 1 Ce 3.34
Hg 0.2108 0.0888 0.4897  4 Tb 3.01-3.17, 4 Hg 3.09-3.26, 1 Ce 3.34
Hg 0.0684 0.6630 0.2002  4 Hg 3.09-3.40, 3 Tb 3.15-3.24, 1 Ce 3.37
Hg 0.9316 0.3370 0.7998  4 Hg 3.09-3.40, 3 Tb 3.15-3.24, 1 Ce 3.37
Hg 0.3585 0.5406 0.7423  5 Tb 3.10-3.22, 4 Hg 3.16-3.40
Hg 0.5000 0.0000 0.0000  2 Ce 2.80
Hg 0.6415 0.4594 0.2577  5 Tb 3.10-3.22, 4 Hg 3.16-3.40

Below is a geometry-optimized SrLiAg4Sn2 structure, with properties calculated at the GGA-PBE level.

Theoretical density, Mg/m³: 7.1
Magnetization, μB/cell: 0.00
SG: R-3m
Formation enthalpy at 0 K, meV/atom: -271
Fermi-level density of states, states/eV per cell: 1.8

a b c (Å): 4.7690 4.7690 9.4551
angles (deg): 75.39 75.39 60.00
Closest atoms and distances in Å follow each position.
Sites, in units of the cell vectors:
Sr 0.0000 0.0000 0.0000  8 Ag 3.36-3.73, 6 Sn 3.65
Li 0.5000 0.5000 0.5000  8 Ag 2.60-2.86
Ag 0.4043 0.4043 0.7871  1 Li 2.60, 3 Sn 2.79
Ag 0.8625 0.8625 0.4125  3 Li 2.86, 4 Sn 2.93-3.06, 3 Ag 3.18
Ag 0.1375 0.1375 0.5875  3 Li 2.86, 4 Sn 2.93-3.06, 3 Ag 3.18
Ag 0.5957 0.5957 0.2129  1 Li 2.60, 3 Sn 2.79
Sn 0.7547 0.7547 0.7359  7 Ag 2.79-3.06
Sn 0.2453 0.2453 0.2641  7 Ag 2.79-3.06

Below is a geometry-optimized TiBeRh3 structure, with properties calculated at the GGA-PBE level.

Theoretical density, Mg/m³: 8.8
Magnetization, μB/cell: 0.00
SG: Pm-3m
Energy above the most stable polymorph in this dataset, eV per formula unit: 0.00
Formation enthalpy at 0 K, meV/atom: -329
Fermi-level density of states, states/eV per cell: 4.5

a b c (Å): 4.1033 4.1033 4.1033
angles (deg): 90.00 90.00 90.00
Closest atoms and distances in Å follow each position.
Sites, in units of the cell vectors:
Be 0.0000 0.0000 0.0000  6 Rh 2.05
Rh 0.0000 0.5000 0.0000  2 Be 2.05
Rh 0.0000 0.0000 0.5000  2 Be 2.05
Rh 0.5000 0.0000 0.0000  2 Be 2.05
Ti 0.5000 0.5000 0.5000  12 Rh 2.90

Below is a geometry-optimized Ac2CePuBi4 structure, with properties calculated at the GGA-PBE level.

Theoretical density, Mg/m³: 9.3
Magnetization, μB/cell: 5.95
SG: P2/m
Formation enthalpy at 0 K, meV/atom: -769
Fermi-level density of states, states/eV per cell: 23.2

a b c (Å): 4.7346 8.1904 8.1979
angles (deg): 70.48 90.00 90.00
Closest atoms and distances in Å follow each position.
Sites, in units of the cell vectors:
Ac 0.0000 0.0000 0.0000  6 Bi 3.43
Ac 0.5000 0.0000 0.5000  6 Bi 3.43-3.44
Ce 0.0000 0.5000 0.5000  6 Bi 3.26
Pu 0.5000 0.5000 0.0000  6 Bi 3.26
Bi 0.0000 0.7303 0.7570  2 Pu 3.26, 1 Ce 3.26, 3 Ac 3.43-3.44
Bi 0.0000 0.2698 0.2430  2 Pu 3.26, 1 Ce 3.26, 3 Ac 3.43-3.44
Bi 0.5000 0.7310 0.2564  2 Ce 3.26, 1 Pu 3.26, 3 Ac 3.43
Bi 0.5000 0.2690 0.7436  2 Ce 3.26, 1 Pu 3.26, 3 Ac 3.43